DFT (PBE with a Hubbard U) results for an optimized crystal structure of Ca2MnCuO4.

## Properties
ρ (kg/m³): 4290
Total magnetic moment (μB/f.u.): 5.8
Density of states at the Fermi level (states/eV per cell): 2.39
E_tot (eV for the cell shown): -51.04

The structure in CIF format:
```
data_Ca2MnCuO4
_space_group_name_H-M_alt 'P 1 2/m 1'
_space_group_IT_number 10
_cell_length_a 5.9538
_cell_length_b 3.1373
_cell_length_c 6.1600
_cell_angle_alpha 90.00
_cell_angle_beta 117.94
_cell_angle_gamma 90.00
loop_
_space_group_symop_operation_xyz
'x,y,z'
'-x,-y,-z'
'-x,y,-z'
'x,-y,z'
loop_
_atom_site_label
_atom_site_fract_x
_atom_site_fract_y
_atom_site_fract_z
Ca1 0.0000 0.0000 0.0000
Ca2 0.0000 0.5000 0.5000
Mn1 0.5000 0.0000 0.5000
Cu1 0.5000 0.5000 0.0000
O1 0.2428 0.5000 0.2949
O2 0.2745 0.0000 0.7922
```